No. 1
CaOsRh3: relaxed, PBE.

Summary:
Energy of formation from the pure elements, eV per atom: 0.578
Space-group type: Pm-3m (221)
Energy above the most stable polymorph in this dataset, meV/atom: 0

a b c (Å): 4.7607 4.7607 4.7607
angles (deg): 90.00 90.00 90.00
With the nearest neighbours (Å) after each atom.
Element x y z (fractional)
1 Ca 0.0000 0.0000 0.0000  12 Rh 3.37
2 Os 0.5000 0.5000 0.5000  6 Rh 2.38
3 Rh 0.0000 0.5000 0.5000  2 Os 2.38
4 Rh 0.5000 0.0000 0.5000  2 Os 2.38
5 Rh 0.5000 0.5000 0.0000  2 Os 2.38

---

No. 2
VCd2Co: relaxed, PBE.

Summary:
Energy of formation from the pure elements, eV per atom: 0.778
Space-group type: I-42d (122)
Energy above the most stable polymorph in this dataset, meV/atom: 289

a b c (Å): 7.4262 7.4262 5.4029
angles (deg): 90.00 90.00 90.00
With the nearest neighbours (Å) after each atom.
Element x y z (fractional)
1 V 0.0000 0.0000 0.0000  2 Co 2.70, 4 Cd 2.87
2 V 0.0000 0.5000 0.2500  2 Co 2.70, 4 Cd 2.87
3 V 0.5000 0.0000 0.7500  2 Co 2.70, 4 Cd 2.87
4 V 0.5000 0.5000 0.5000  2 Co 2.70, 4 Cd 2.87
5 Cd 0.2196 0.2500 0.6250  2 Co 2.56, 2 Cd 2.74
6 Cd 0.2500 0.7196 0.8750  2 Co 2.56, 2 Cd 2.74
7 Cd 0.2500 0.7804 0.3750  2 Co 2.56, 2 Cd 2.74
8 Cd 0.2804 0.2500 0.1250  2 Co 2.56, 2 Cd 2.74
9 Cd 0.7196 0.7500 0.1250  2 Co 2.56, 2 Cd 2.74
10 Cd 0.7500 0.2196 0.3750  2 Co 2.56, 2 Cd 2.74
11 Cd 0.7500 0.2804 0.8750  2 Co 2.56, 2 Cd 2.74
12 Cd 0.7804 0.7500 0.6250  2 Co 2.56, 2 Cd 2.74
13 Co 0.0000 0.0000 0.5000  4 Cd 2.56, 2 V 2.70
14 Co 0.0000 0.5000 0.7500  4 Cd 2.56, 2 V 2.70
15 Co 0.5000 0.0000 0.2500  4 Cd 2.56, 2 V 2.70
16 Co 0.5000 0.5000 0.0000  4 Cd 2.56, 2 V 2.70

---

No. 3
NiAgAu: relaxed, PBE.

Summary:
Energy of formation from the pure elements, eV per atom: 0.124
Space-group type: I4mm (107)
Energy above the most stable polymorph in this dataset, meV/atom: 70

a b c (Å): 2.8741 2.8741 11.3616
angles (deg): 90.00 90.00 90.00
With the nearest neighbours (Å) after each atom.
Element x y z (fractional)
1 Ni 0.0000 0.0000 0.0000  4 Au 2.67, 4 Ag 2.71, 4 Ni 2.87
2 Ni 0.5000 0.5000 0.5000  4 Au 2.67, 4 Ag 2.71, 4 Ni 2.87
3 Ag 0.0000 0.0000 0.6578  4 Ni 2.71, 4 Ag 2.87, 4 Au 2.96
4 Ag 0.5000 0.5000 0.1578  4 Ni 2.71, 4 Ag 2.87, 4 Au 2.96
5 Au 0.0000 0.0000 0.3474  4 Ni 2.67, 4 Au 2.87, 4 Ag 2.96
6 Au 0.5000 0.5000 0.8474  4 Ni 2.67, 4 Au 2.87, 4 Ag 2.96

---

No. 4
Cd5Sn3Au12: relaxed, PBE.

Summary:
Energy of formation from the pure elements, eV per atom: 0.104
Space-group type: Ia-3d (230)

a b c (Å): 14.0294 14.0294 14.0294
angles (deg): 109.47 109.47 109.47
With the nearest neighbours (Å) after each atom.
Element x y z (fractional)
1 Cd 0.0000 0.0000 0.0000  6 Au 2.77
2 Cd 0.0000 0.0000 0.5000  6 Au 2.77
3 Cd 0.0000 0.5000 0.0000  6 Au 2.77
4 Cd 0.0000 0.5000 0.5000  6 Au 2.77
5 Cd 0.1250 0.7500 0.8750  4 Au 2.78
6 Cd 0.1250 0.8750 0.2500  4 Au 2.78
7 Cd 0.2500 0.1250 0.8750  4 Au 2.78
8 Cd 0.2500 0.6250 0.3750  4 Au 2.78
9 Cd 0.3750 0.2500 0.6250  4 Au 2.78
10 Cd 0.3750 0.6250 0.7500  4 Au 2.78
11 Cd 0.5000 0.0000 0.0000  6 Au 2.77
12 Cd 0.5000 0.0000 0.5000  6 Au 2.77
13 Cd 0.5000 0.5000 0.0000  6 Au 2.77
14 Cd 0.5000 0.5000 0.5000  6 Au 2.77
15 Cd 0.6250 0.3750 0.2500  4 Au 2.78
16 Cd 0.6250 0.7500 0.3750  4 Au 2.78
17 Cd 0.7500 0.3750 0.6250  4 Au 2.78
18 Cd 0.7500 0.8750 0.1250  4 Au 2.78
19 Cd 0.8750 0.1250 0.7500  4 Au 2.78
20 Cd 0.8750 0.2500 0.1250  4 Au 2.78
21 Sn 0.1250 0.2500 0.3750  8 Au 2.84-2.93
22 Sn 0.1250 0.3750 0.7500  8 Au 2.84-2.93
23 Sn 0.2500 0.3750 0.1250  8 Au 2.84-2.93
24 Sn 0.2500 0.8750 0.6250  8 Au 2.84-2.93
25 Sn 0.3750 0.1250 0.2500  8 Au 2.84-2.93
26 Sn 0.3750 0.7500 0.1250  8 Au 2.84-2.93
27 Sn 0.6250 0.2500 0.8750  8 Au 2.84-2.93
28 Sn 0.6250 0.8750 0.7500  8 Au 2.84-2.93
29 Sn 0.7500 0.1250 0.3750  8 Au 2.84-2.93
30 Sn 0.7500 0.6250 0.8750  8 Au 2.84-2.93
31 Sn 0.8750 0.6250 0.2500  8 Au 2.84-2.93
32 Sn 0.8750 0.7500 0.6250  8 Au 2.84-2.93
33 Au 0.0705 0.2292 0.1461  2 Cd 2.77-2.78, 2 Sn 2.84-2.93, 1 Au 2.85
34 Au 0.0705 0.3413 0.9244  2 Cd 2.77-2.78, 2 Sn 2.84-2.93, 1 Au 2.85
35 Au 0.0756 0.6461 0.4169  2 Cd 2.77-2.78, 2 Sn 2.84-2.93, 1 Au 2.85
36 Au 0.0756 0.9295 0.6587  2 Cd 2.77-2.78, 2 Sn 2.84-2.93, 1 Au 2.85
37 Au 0.0831 0.7292 0.6587  2 Cd 2.77-2.78, 2 Sn 2.84-2.93, 1 Au 2.85
38 Au 0.0831 0.8539 0.4244  2 Cd 2.77-2.78, 2 Sn 2.84-2.93, 1 Au 2.85
39 Au 0.1461 0.0705 0.2292  2 Cd 2.77-2.78, 2 Sn 2.84-2.93, 1 Au 2.85
40 Au 0.1461 0.5756 0.9169  2 Cd 2.77-2.78, 2 Sn 2.84-2.93, 1 Au 2.85
41 Au 0.1587 0.2292 0.5831  2 Cd 2.77-2.78, 2 Sn 2.84-2.93, 1 Au 2.85
42 Au 0.1587 0.4295 0.5756  2 Cd 2.77-2.78, 2 Sn 2.84-2.93, 1 Au 2.85
43 Au 0.2292 0.1461 0.0705  2 Cd 2.77-2.78, 2 Sn 2.84-2.93, 1 Au 2.85
44 Au 0.2292 0.5831 0.1587  2 Cd 2.77-2.78, 2 Sn 2.84-2.93, 1 Au 2.85
45 Au 0.2708 0.3413 0.9169  2 Cd 2.77-2.78, 2 Sn 2.84-2.93, 1 Au 2.85
46 Au 0.2708 0.4295 0.3539  2 Cd 2.77-2.78, 2 Sn 2.84-2.93, 1 Au 2.85
47 Au 0.3413 0.9169 0.2708  2 Cd 2.77-2.78, 2 Sn 2.84-2.93, 1 Au 2.85
48 Au 0.3413 0.9244 0.0705  2 Cd 2.77-2.78, 2 Sn 2.84-2.93, 1 Au 2.85
49 Au 0.3539 0.2708 0.4295  2 Cd 2.77-2.78, 2 Sn 2.84-2.93, 1 Au 2.85
50 Au 0.3539 0.5831 0.9244  2 Cd 2.77-2.78, 2 Sn 2.84-2.93, 1 Au 2.85
51 Au 0.4169 0.0756 0.6461  2 Cd 2.77-2.78, 2 Sn 2.84-2.93, 1 Au 2.85
52 Au 0.4169 0.8413 0.7708  2 Cd 2.77-2.78, 2 Sn 2.84-2.93, 1 Au 2.85
53 Au 0.4244 0.0831 0.8539  2 Cd 2.77-2.78, 2 Sn 2.84-2.93, 1 Au 2.85
54 Au 0.4244 0.8413 0.5705  2 Cd 2.77-2.78, 2 Sn 2.84-2.93, 1 Au 2.85
55 Au 0.4295 0.3539 0.2708  2 Cd 2.77-2.78, 2 Sn 2.84-2.93, 1 Au 2.85
56 Au 0.4295 0.5756 0.1587  2 Cd 2.77-2.78, 2 Sn 2.84-2.93, 1 Au 2.85
57 Au 0.5705 0.4244 0.8413  2 Cd 2.77-2.78, 2 Sn 2.84-2.93, 1 Au 2.85
58 Au 0.5705 0.6461 0.7292  2 Cd 2.77-2.78, 2 Sn 2.84-2.93, 1 Au 2.85
59 Au 0.5756 0.1587 0.4295  2 Cd 2.77-2.78, 2 Sn 2.84-2.93, 1 Au 2.85
60 Au 0.5756 0.9169 0.1461  2 Cd 2.77-2.78, 2 Sn 2.84-2.93, 1 Au 2.85
61 Au 0.5831 0.1587 0.2292  2 Cd 2.77-2.78, 2 Sn 2.84-2.93, 1 Au 2.85
62 Au 0.5831 0.9244 0.3539  2 Cd 2.77-2.78, 2 Sn 2.84-2.93, 1 Au 2.85
63 Au 0.6461 0.4169 0.0756  2 Cd 2.77-2.78, 2 Sn 2.84-2.93, 1 Au 2.85
64 Au 0.6461 0.7292 0.5705  2 Cd 2.77-2.78, 2 Sn 2.84-2.93, 1 Au 2.85
65 Au 0.6587 0.0756 0.9295  2 Cd 2.77-2.78, 2 Sn 2.84-2.93, 1 Au 2.85
66 Au 0.6587 0.0831 0.7292  2 Cd 2.77-2.78, 2 Sn 2.84-2.93, 1 Au 2.85
67 Au 0.7292 0.5705 0.6461  2 Cd 2.77-2.78, 2 Sn 2.84-2.93, 1 Au 2.85
68 Au 0.7292 0.6587 0.0831  2 Cd 2.77-2.78, 2 Sn 2.84-2.93, 1 Au 2.85
69 Au 0.7708 0.4169 0.8413  2 Cd 2.77-2.78, 2 Sn 2.84-2.93, 1 Au 2.85
70 Au 0.7708 0.8539 0.9295  2 Cd 2.77-2.78, 2 Sn 2.84-2.93, 1 Au 2.85
71 Au 0.8413 0.5705 0.4244  2 Cd 2.77-2.78, 2 Sn 2.84-2.93, 1 Au 2.85
72 Au 0.8413 0.7708 0.4169  2 Cd 2.77-2.78, 2 Sn 2.84-2.93, 1 Au 2.85
73 Au 0.8539 0.4244 0.0831  2 Cd 2.77-2.78, 2 Sn 2.84-2.93, 1 Au 2.85
74 Au 0.8539 0.9295 0.7708  2 Cd 2.77-2.78, 2 Sn 2.84-2.93, 1 Au 2.85
75 Au 0.9169 0.1461 0.5756  2 Cd 2.77-2.78, 2 Sn 2.84-2.93, 1 Au 2.85
76 Au 0.9169 0.2708 0.3413  2 Cd 2.77-2.78, 2 Sn 2.84-2.93, 1 Au 2.85
77 Au 0.9244 0.0705 0.3413  2 Cd 2.77-2.78, 2 Sn 2.84-2.93, 1 Au 2.85
78 Au 0.9244 0.3539 0.5831  2 Cd 2.77-2.78, 2 Sn 2.84-2.93, 1 Au 2.85
79 Au 0.9295 0.6587 0.0756  2 Cd 2.77-2.78, 2 Sn 2.84-2.93, 1 Au 2.85
80 Au 0.9295 0.7708 0.8539  2 Cd 2.77-2.78, 2 Sn 2.84-2.93, 1 Au 2.85

---

No. 5
Tl3WBr: relaxed, PBE.

Summary:
Space-group type: Pm-3m (221)
ΔE_f (raw), kcal/mol of atoms: 13.92
Energy above the most stable polymorph in this dataset, meV/atom: 0

a b c (Å): 5.5309 5.5309 5.5309
angles (deg): 90.00 90.00 90.00
With the nearest neighbours (Å) after each atom.
Element x y z (fractional)
1 Tl 0.0000 0.0000 0.5000  2 W 2.77
2 Tl 0.0000 0.5000 0.0000  2 W 2.77
3 Tl 0.5000 0.0000 0.0000  2 W 2.77
4 W 0.0000 0.0000 0.0000  6 Tl 2.77
5 Br 0.5000 0.5000 0.5000  12 Tl 3.91

---

No. 6
CaBAs2Se: relaxed, PBE.

Summary:
Space-group type: P4/mmm (123)
ΔE_f (raw), kcal/mol of atoms: 33.44
Energy above the most stable polymorph in this dataset, meV/atom: 1366

a b c (Å): 5.4094 5.4094 5.3442
angles (deg): 90.00 90.00 90.00
With the nearest neighbours (Å) after each atom.
Element x y z (fractional)
1 Ca 0.0000 0.0000 0.0000  2 Se 2.67, 4 As 2.70
2 B 0.5000 0.5000 0.5000  8 As 3.80, 4 Se 3.83
3 As 0.0000 0.5000 0.0000  2 Ca 2.70
4 As 0.5000 0.0000 0.0000  2 Ca 2.70
5 Se 0.0000 0.0000 0.5000  2 Ca 2.67

---

No. 7
Sc2InRh2: relaxed, PBE.

Summary:
Energy of formation from the pure elements, eV per atom: -0.395
Space-group type: I4/mmm (139)

a b c (Å): 3.9212 3.9212 13.4941
angles (deg): 90.00 90.00 90.00
With the nearest neighbours (Å) after each atom.
Element x y z (fractional)
1 Sc 0.0000 0.0000 0.1224  4 Rh 2.61
2 Sc 0.0000 0.0000 0.8776  4 Rh 2.61
3 Sc 0.5000 0.5000 0.3776  4 Rh 2.61
4 Sc 0.5000 0.5000 0.6224  4 Rh 2.61
5 In 0.0000 0.0000 0.5000  8 Sc 3.23
6 In 0.5000 0.5000 0.0000  8 Sc 3.23
7 Rh 0.0000 0.5000 0.2500  4 Sc 2.61, 4 Rh 2.77
8 Rh 0.0000 0.5000 0.7500  4 Sc 2.61, 4 Rh 2.77
9 Rh 0.5000 0.0000 0.2500  4 Sc 2.61, 4 Rh 2.77
10 Rh 0.5000 0.0000 0.7500  4 Sc 2.61, 4 Rh 2.77

---

No. 8
NpAg3: relaxed, PBE.

Summary:
Energy of formation from the pure elements, eV per atom: 0.276
Space-group type: Pmm2 (25)

a b c (Å): 2.8653 5.1009 5.6372
angles (deg): 90.00 90.00 90.00
With the nearest neighbours (Å) after each atom.
Element x y z (fractional)
1 Np 0.0000 0.0000 0.0000  2 Np 2.87, 10 Ag 3.13-3.18
2 Ag 0.0000 0.5000 0.6768  8 Ag 2.87-3.09, 2 Np 3.13
3 Ag 0.5000 0.0000 0.5011  8 Ag 2.87-3.09, 4 Np 3.16-3.17
4 Ag 0.5000 0.5000 0.2208  6 Ag 2.87-3.00, 4 Np 3.18

---

No. 9
Lu2TlHg: relaxed, PBE.

Summary:
Energy of formation from the pure elements, eV per atom: -0.355
Space-group type: Cm (8)

a b c (Å): 9.0537 5.2262 5.2238
angles (deg): 90.00 125.19 90.00
With the nearest neighbours (Å) after each atom.
Element x y z (fractional)
1 Lu 0.0000 0.0000 0.0000  4 Tl 3.20-3.21, 4 Hg 3.20
2 Lu 0.0000 0.5000 0.5001  4 Tl 3.20, 4 Hg 3.20
3 Lu 0.5000 0.0000 0.5001  4 Tl 3.20, 4 Hg 3.20
4 Lu 0.5000 0.5000 0.0000  4 Tl 3.20-3.21, 4 Hg 3.20
5 Tl 0.2507 0.0000 0.7516  8 Lu 3.20-3.21
6 Tl 0.7507 0.5000 0.7516  8 Lu 3.20-3.21
7 Hg 0.2500 0.5000 0.2501  8 Lu 3.20
8 Hg 0.7500 0.0000 0.2501  8 Lu 3.20

---

No. 10
Nd5Tc2Cl2: relaxed, PBE.

Summary:
Space-group type: Cmce (64)
ΔE_f (raw), kcal/mol of atoms: -12.10

a b c (Å): 9.4476 9.4476 7.7340
angles (deg): 90.00 90.00 48.39
With the nearest neighbours (Å) after each atom.
Element x y z (fractional)
1 Nd 0.0000 0.0000 0.0000  4 Tc 3.13-3.14
2 Nd 0.0578 0.7056 0.6742  3 Tc 3.04-3.11, 1 Cl 3.09
3 Nd 0.2056 0.5578 0.1742  3 Tc 3.04-3.11, 1 Cl 3.09
4 Nd 0.2944 0.9422 0.6742  3 Tc 3.04-3.11, 1 Cl 3.09
5 Nd 0.4422 0.7944 0.1742  3 Tc 3.04-3.11, 1 Cl 3.09
6 Nd 0.5000 0.5000 0.5000  4 Tc 3.13-3.14
7 Nd 0.5578 0.2056 0.8258  3 Tc 3.04-3.11, 1 Cl 3.09
8 Nd 0.7056 0.0578 0.3258  3 Tc 3.04-3.11, 1 Cl 3.09
9 Nd 0.7944 0.4422 0.8258  3 Tc 3.04-3.11, 1 Cl 3.09
10 Nd 0.9422 0.2944 0.3258  3 Tc 3.04-3.11, 1 Cl 3.09
11 Tc 0.1116 0.8884 0.3900  1 Tc 2.43
12 Tc 0.3884 0.6116 0.8900  1 Tc 2.43
13 Tc 0.6116 0.3884 0.1100  1 Tc 2.43
14 Tc 0.8884 0.1116 0.6100  1 Tc 2.43
15 Cl 0.2413 0.2413 0.0000  2 Nd 3.09
16 Cl 0.2587 0.2587 0.5000  2 Nd 3.09
17 Cl 0.7413 0.7413 0.5000  2 Nd 3.09
18 Cl 0.7587 0.7587 0.0000  2 Nd 3.09

---

No. 11
Li2HgRuAu: relaxed, PBE.

Summary:
Energy of formation from the pure elements, eV per atom: 0.641
Space-group type: P4/mmm (123)

a b c (Å): 4.8131 4.8131 4.9205
angles (deg): 90.00 90.00 90.00
With the nearest neighbours (Å) after each atom.
Element x y z (fractional)
1 Li 0.0000 0.5000 0.0000  2 Ru 2.41
2 Li 0.5000 0.0000 0.0000  2 Ru 2.41
3 Hg 0.0000 0.0000 0.5000  4 Au 3.40, 8 Li 3.44
4 Ru 0.5000 0.5000 0.0000  4 Li 2.41, 2 Au 2.46
5 Au 0.5000 0.5000 0.5000  2 Ru 2.46

---

No. 12
Pm4Pr3Tl: relaxed, PBE.

Summary:
Energy of formation from the pure elements, eV per atom: -0.010
Space-group type: P4/mmm (123)
Energy above the most stable polymorph in this dataset, meV/atom: 57

a b c (Å): 4.2676 4.2676 14.6274
angles (deg): 90.00 90.00 90.00
With the nearest neighbours (Å) after each atom.
Element x y z (fractional)
1 Pm 0.0000 0.0000 0.1105  1 Pm 3.23, 4 Tl 3.42
2 Pm 0.0000 0.0000 0.3687  8 Pr 3.50-3.58, 2 Pm 3.78-3.84
3 Pm 0.0000 0.0000 0.6313  8 Pr 3.50-3.58, 2 Pm 3.78-3.84
4 Pm 0.0000 0.0000 0.8895  1 Pm 3.23, 4 Tl 3.42
5 Pr 0.5000 0.5000 0.2481  8 Pm 3.50-3.63, 1 Tl 3.63, 1 Pr 3.68
6 Pr 0.5000 0.5000 0.5000  8 Pm 3.58, 2 Pr 3.68
7 Pr 0.5000 0.5000 0.7519  8 Pm 3.50-3.63, 1 Tl 3.63, 1 Pr 3.68
8 Tl 0.5000 0.5000 0.0000  8 Pm 3.42, 2 Pr 3.63

---

| no. | DOS(E_F) (states/eV/cell) | size of the total moment (μB/f.u.) | volume (Å³ per atom) |
| --- | --- | --- | --- |
| 1 | 4.58 | 0.0 | 21.58 |
| 2 | 28.69 | 4.0 | 18.62 |
| 3 | 6.32 | 0.3 | 15.64 |
| 4 | 34.78 | 0.0 | 26.57 |
| 5 | 4.70 | 2.7 | 33.84 |
| 6 | 4.75 | 0.0 | 31.28 |
| 7 | 4.79 | 0.0 | 20.75 |
| 8 | 4.15 | 4.9 | 20.60 |
| 9 | 7.44 | 0.0 | 25.25 |
| 10 | 13.66 | 0.0 | 28.68 |
| 11 | 3.20 | 0.0 | 22.80 |
| 12 | 12.24 | 0.0 | 33.30 |